LiTc2Au2: relaxed, GGA-PBE.

Structure (POSCAR):
```
LiTc2Au2
1.0
8.189 0.000 0.000
0.000 8.189 0.000
0.000 0.000 2.724
Li Tc Au
2 4 4
Cartesian
0.000 0.000 0.000
4.094 4.094 0.000
0.801 3.294 1.362
3.294 7.388 1.362
4.895 0.801 1.362
7.388 4.895 1.362
1.599 5.694 0.000
2.495 1.599 0.000
5.694 6.590 0.000
6.590 2.495 0.000
```

## Properties
Formation enthalpy at 0 K in eV/atom: 0.31
Polymorph energy (0 for the lowest one) in eV/atom: 0.072
Total magnetic moment in μB per cell: 0.0
Volume in Å³/cell: 182.6

=====

CoPt4Rh5: relaxed, GGA-PBE.

Structure (POSCAR):
```
CoPt4Rh5
1.0
2.743 0.000 0.000
0.000 3.852 0.000
0.000 0.000 13.740
Co Pt Rh
1 4 5
Cartesian
0.000 0.000 0.000
0.000 0.000 2.646
0.000 0.000 5.467
0.000 0.000 8.273
0.000 0.000 11.093
1.371 1.926 1.278
1.371 1.926 4.062
1.371 1.926 6.870
1.371 1.926 9.678
1.371 1.926 12.461
```

## Properties
Formation enthalpy at 0 K in eV/atom: -0.01
Total magnetic moment in μB per cell: 2.6
Volume in Å³/cell: 145.2

=====

La2ScBePd6: relaxed, GGA-PBE.

Structure (POSCAR):
```
La2ScBePd6
1.0
2.968 1.714 6.712
-2.968 1.714 6.712
0.000 -3.428 6.712
La Sc Be Pd
2 1 1 6
Cartesian
0.000 0.000 4.936
0.000 0.000 15.199
0.000 0.000 10.068
0.000 0.000 0.000
0.000 -1.653 7.991
-1.431 0.826 7.991
-1.431 -0.826 12.144
1.431 0.826 7.991
1.431 -0.826 12.144
0.000 1.653 12.144
```

## Properties
Formation enthalpy at 0 K in eV/atom: -0.65
Total magnetic moment in μB per cell: 0.0
Volume in Å³/cell: 204.9

=====

Ag3AuF6: relaxed, GGA-PBE.

Structure (POSCAR):
```
Ag3AuF6
1.0
4.866 -5.569 0.000
4.866 5.569 0.000
0.000 0.000 5.843
Ag Au F
6 2 12
Cartesian
4.866 4.410 2.922
3.146 1.051 3.032
3.146 -1.051 0.110
6.586 1.051 3.032
6.586 -1.051 0.110
4.866 -4.410 0.000
4.866 2.673 0.701
4.866 -2.673 3.622
2.866 2.682 0.692
1.536 0.161 1.780
1.536 -0.161 4.701
4.866 2.336 3.817
6.866 2.682 0.692
4.866 0.356 5.763
4.866 -0.356 2.842
2.866 -2.682 3.614
4.866 -2.336 0.895
8.196 0.161 1.780
8.196 -0.161 4.701
6.866 -2.682 3.614
```

## Properties
Polymorph energy (0 for the lowest one) in eV/atom: 0.062
Total magnetic moment in μB per cell: 2.3
Formation energy (no corrections) in eV/atom: -0.959
Volume in Å³/cell: 316.7

=====

AlGaSbI2: relaxed, GGA-PBE.

Structure (POSCAR):
```
AlGaSbI2
1.0
5.757 0.000 0.000
0.000 5.757 0.000
0.000 0.000 5.363
Al Ga Sb I
1 1 1 2
Cartesian
0.000 0.000 0.000
2.879 2.879 2.682
2.879 2.879 0.000
0.000 2.879 2.682
2.879 0.000 2.682
```

## Properties
Polymorph energy (0 for the lowest one) in eV/atom: 0.197
Total magnetic moment in μB per cell: 0.0
Formation energy (no corrections) in eV/atom: 0.330
Volume in Å³/cell: 177.8

=====

BaSi2Rh: relaxed, GGA-PBE.

Structure (POSCAR):
```
BaSi2Rh
1.0
-2.082 3.196 3.800
2.082 -3.196 3.800
2.082 3.196 -3.800
Ba Si Rh
1 2 1
Cartesian
0.000 0.000 0.000
2.082 0.000 2.485
0.000 0.000 3.763
0.000 3.196 1.042
```

## Properties
Total magnetic moment in μB per cell: 0.0
Formation energy (no corrections) in eV/atom: -0.066
Volume in Å³/cell: 101.2

=====

RePCl2: relaxed, GGA-PBE.

Structure (POSCAR):
```
RePCl2
1.0
1.545 -2.778 0.000
1.545 2.778 0.000
0.000 0.000 9.282
Re P Cl
1 1 2
Cartesian
0.000 0.000 0.000
1.545 0.000 1.700
0.000 0.000 3.712
1.545 0.000 7.306
```

## Properties
Polymorph energy (0 for the lowest one) in eV/atom: 0.621
Total magnetic moment in μB per cell: 0.0
Formation energy (no corrections) in eV/atom: 0.339
Volume in Å³/cell: 79.7

=====

CdSb2Ir: relaxed, GGA-PBE.

Structure (POSCAR):
```
CdSb2Ir
1.0
4.622 0.000 0.000
0.000 4.622 0.000
0.000 0.000 4.004
Cd Sb Ir
1 2 1
Cartesian
0.000 0.000 0.000
0.000 2.311 2.002
2.311 0.000 2.002
2.311 2.311 0.000
```

## Properties
Polymorph energy (0 for the lowest one) in eV/atom: 0.417
Total magnetic moment in μB per cell: 0.0
Formation energy (no corrections) in eV/atom: 0.355
Volume in Å³/cell: 85.5

=====

Sr3PI2: relaxed, GGA-PBE.

Structure (POSCAR):
```
Sr3PI2
1.0
7.711 -3.791 0.000
7.711 3.791 0.000
0.000 0.000 8.463
Sr P I
6 2 4
Cartesian
7.711 3.601 6.347
5.744 0.000 0.000
5.744 0.000 4.232
9.677 0.000 0.000
9.677 0.000 4.232
7.711 -3.601 2.116
7.711 0.663 6.347
7.711 -0.663 2.116
3.109 1.248 6.347
3.109 -1.248 2.116
12.312 1.248 6.347
12.312 -1.248 2.116
```

## Properties
Total magnetic moment in μB per cell: 0.0
Formation energy (no corrections) in eV/atom: -1.224
Volume in Å³/cell: 494.8

=====

Cu3Rh5: relaxed, GGA-PBE.

Structure (POSCAR):
```
Cu3Rh5
1.0
3.789 -3.801 0.000
3.789 3.801 0.000
0.000 0.000 3.770
Cu Rh
3 5
Cartesian
0.000 0.000 0.000
1.836 0.000 1.885
5.742 0.000 1.885
1.894 1.901 0.000
3.789 1.874 1.885
1.894 -1.901 0.000
3.789 0.000 0.000
3.789 -1.874 1.885
```

## Properties
Formation enthalpy at 0 K in eV/atom: 0.10
Polymorph energy (0 for the lowest one) in eV/atom: 0.000
Total magnetic moment in μB per cell: 0.0
Volume in Å³/cell: 108.6

=====

NaPuCdSb: relaxed, GGA-PBE.

Structure (POSCAR):
```
NaPuCdSb
1.0
0.000 3.775 3.775
3.775 0.000 3.775
3.775 3.775 0.000
Na Pu Cd Sb
1 1 1 1
Cartesian
0.000 0.000 0.000
3.775 3.775 3.775
5.662 5.662 5.662
1.887 1.887 1.887
```

## Properties
Total magnetic moment in μB per cell: 6.0
Formation energy (no corrections) in eV/atom: -0.272
Volume in Å³/cell: 107.6

=====

Ac12In4PbN3: relaxed, GGA-PBE.

Structure (POSCAR):
```
Ac12In4PbN3
1.0
-5.592 5.592 5.592
5.592 -5.592 5.592
5.592 5.592 -5.592
Ac In Pb N
12 4 1 3
Cartesian
3.104 0.000 0.000
8.080 0.000 0.000
5.592 2.796 0.000
5.592 0.000 2.796
0.000 3.104 0.000
0.000 0.000 3.104
2.796 5.592 0.000
2.796 0.000 5.592
0.000 8.080 0.000
0.000 0.000 8.080
0.000 5.592 2.796
0.000 2.796 5.592
2.796 2.796 -2.796
2.796 -2.796 2.796
-2.796 2.796 2.796
2.796 2.796 2.796
0.000 0.000 0.000
5.592 0.000 0.000
0.000 5.592 0.000
0.000 0.000 5.592
```

## Properties
Total magnetic moment in μB per cell: 0.0
Formation energy (no corrections) in eV/atom: -0.432
Volume in Å³/cell: 699.4